DFT (PBE-GGA) results for a relaxed structure of Zn2InSb.

a = 4.069 Å, b = 5.127 Å, c = 8.492 Å
α = 90.00°, β = 90.00°, γ = 90.00°
Positions (direct):
Zn  0.000  0.000  0.247
Zn  0.000  0.000  0.753
Zn  0.500  0.500  0.247
Zn  0.500  0.500  0.753
In  0.000  0.500  0.000
In  0.500  0.000  0.000
Sb  0.000  0.500  0.500
Sb  0.500  0.000  0.500

Computed properties:
The relative energy among the computed polymorphs comes out at 58 meV per atom. Its crystal system is orthorhombic. As for the formation energy without anion corrections: 0.150 eV/atom.

DFT (PBE-GGA) results for a relaxed structure of Ce3CdTc.

a = 5.067 Å, b = 6.802 Å, c = 7.443 Å
α = 88.52°, β = 89.99°, γ = 89.97°
Positions (direct):
Ce  0.250  0.074  0.333
Ce  0.250  0.109  0.945
Ce  0.250  0.619  0.359
Ce  0.750  0.381  0.641
Ce  0.750  0.891  0.055
Ce  0.750  0.926  0.667
Cd  0.250  0.620  0.868
Cd  0.750  0.380  0.132
Tc  0.249  0.281  0.629
Tc  0.751  0.719  0.371

Computed properties:
The relative energy among the computed polymorphs comes out at 0 meV per atom. As for the formation energy: -0.22 eV/f.u. Its crystal system is triclinic.

DFT (PBE-GGA) results for a relaxed structure of Na6B18Se17.

a = 12.366 Å, b = 12.366 Å, c = 11.567 Å
α = 91.15°, β = 91.15°, γ = 85.37°
Positions (direct):
Na  0.001  0.999  0.500
Na  0.144  0.367  0.461
Na  0.257  0.681  0.426
Na  0.307  0.738  0.073
Na  0.367  0.144  0.961
Na  0.474  0.593  0.717
Na  0.593  0.474  0.217
Na  0.628  0.857  0.041
Na  0.681  0.257  0.926
Na  0.738  0.307  0.573
Na  0.857  0.628  0.541
Na  0.999  0.001  0.000
B  0.005  0.494  0.855
B  0.022  0.619  0.067
B  0.023  0.684  0.318
B  0.049  0.385  0.069
B  0.063  0.775  0.814
B  0.091  0.573  0.939
B  0.111  0.429  0.942
B  0.120  0.506  0.072
B  0.222  0.936  0.688
B  0.314  0.976  0.183
B  0.341  0.399  0.029
B  0.379  0.979  0.433
B  0.385  0.049  0.569
B  0.399  0.341  0.529
B  0.425  0.909  0.561
B  0.429  0.111  0.442
B  0.492  0.880  0.429
B  0.494  0.005  0.355
B  0.503  0.995  0.646
B  0.506  0.120  0.572
B  0.569  0.890  0.559
B  0.573  0.091  0.439
B  0.600  0.659  0.475
B  0.612  0.951  0.431
B  0.619  0.022  0.567
B  0.659  0.600  0.975
B  0.684  0.023  0.818
B  0.775  0.063  0.314
B  0.880  0.492  0.929
B  0.890  0.569  0.059
B  0.909  0.425  0.061
B  0.936  0.222  0.188
B  0.951  0.612  0.931
B  0.976  0.314  0.683
B  0.979  0.379  0.933
B  0.995  0.503  0.146
Se  0.006  0.469  0.683
Se  0.029  0.759  0.465
Se  0.047  0.751  0.167
Se  0.077  0.922  0.751
Se  0.087  0.248  0.158
Se  0.185  0.672  0.856
Se  0.239  0.968  0.036
Se  0.247  0.951  0.334
Se  0.248  0.087  0.658
Se  0.255  0.358  0.890
Se  0.270  0.501  0.145
Se  0.325  0.815  0.641
Se  0.332  0.485  0.557
Se  0.358  0.255  0.390
Se  0.469  0.006  0.183
Se  0.485  0.332  0.057
Se  0.496  0.729  0.359
Se  0.501  0.270  0.645
Se  0.514  0.663  0.953
Se  0.528  0.993  0.818
Se  0.641  0.748  0.613
Se  0.663  0.514  0.453
Se  0.672  0.185  0.356
Se  0.729  0.496  0.859
Se  0.748  0.641  0.113
Se  0.750  0.912  0.344
Se  0.751  0.047  0.667
Se  0.759  0.029  0.965
Se  0.815  0.325  0.141
Se  0.912  0.750  0.844
Se  0.922  0.077  0.251
Se  0.951  0.247  0.834
Se  0.968  0.239  0.536
Se  0.993  0.528  0.318

Computed properties:
Its crystal system is monoclinic. As for the formation energy without anion corrections: -0.451 eV/atom.

DFT (PBE-GGA) results for a relaxed structure of InAg3F8.

a = 6.248 Å, b = 6.248 Å, c = 6.827 Å
α = 90.00°, β = 90.00°, γ = 126.11°
Positions (direct):
In  0.000  0.000  0.000
Ag  0.000  0.000  0.500
Ag  0.000  0.500  0.252
Ag  0.500  0.000  0.748
F  0.192  0.808  0.500
F  0.196  0.804  0.000
F  0.218  0.270  0.226
F  0.270  0.218  0.774
F  0.730  0.782  0.774
F  0.782  0.730  0.226
F  0.804  0.196  0.000
F  0.808  0.192  0.500

Computed properties:
Its crystal system is orthorhombic. As for the formation energy without anion corrections: -1.538 eV/atom.

no.,total energy (eV/atom),total magnetization (μB/cell)
1,-2.202,0.00
2,-5.860,1.52
3,-5.021,0.00
4,-3.727,1.21